Computed, not measured: a geometry-optimized Th4TcGe structure at the PBE level of DFT.

The space group is P4/mcc (No. 124) and the conventional cell measures 7.260, 7.260 and 6.121 Å, with angles of 90.00, 90.00 and 90.00 degrees. The distinct sites, in fractional coordinates, are Th at (0.154, 0.325, 0.000), Tc at (0.000, 0.000, 0.250) and Ge at (0.500, 0.500, 0.250).

The calculation puts the final energy at -7.775 eV/atom. Its crystal system is tetragonal. The total moment comes out at 0.00 μB/atom. As for the calculated volume: 322.7 Å³ per cell.